Record 1
First-principles (GGA-PBE) data for Si2PIrOs after structural relaxation, as listed in the Alexandria database.

The formation energy (no corrections) comes out at 103 kJ per mole of atoms. The crystal system is tetragonal.

The structure belongs to space group P4/mmm (No. 123); the cell edges are 4.5081, 4.5081 and 4.9414 Å and the angles 90.00°, 90.00° and 90.00°. The asymmetric unit holds Si at (0.0000, 0.5000, 0.0000), P at (0.0000, 0.0000, 0.5000), Ir at (0.5000, 0.5000, 0.5000) and Os at (0.5000, 0.5000, 0.0000).

***

Record 2
First-principles (GGA-PBE) data for SrP2IrOs after structural relaxation, as listed in the Alexandria database.

The crystal system is tetragonal. The formation energy comes out at -761 meV per atom.

The structure belongs to space group I-4m2 (No. 119); the cell edges are 4.0321, 4.0321 and 11.7111 Å and the angles 90.00°, 90.00° and 90.00°. The asymmetric unit holds Sr at (0.0000, 0.0000, 0.0000), P at (0.0000, 0.0000, 0.3547), Ir at (0.0000, 0.5000, 0.7500) and Os at (0.0000, 0.5000, 0.2500).

***

Record 3
First-principles (GGA-PBE) data for UP2IrOs2 after structural relaxation, as listed in the Alexandria database.

The crystal system is orthorhombic. The formation energy comes out at -306 meV per atom.

The structure belongs to space group Pmc2_1 (No. 26); the cell edges are 3.9033, 7.8248 and 6.1707 Å and the angles 90.00°, 90.00° and 90.00°. The asymmetric unit holds U at (0.0000, 0.0531, 0.0000), P at (0.0000, 0.3741, 0.7715), P at (0.5000, 0.1831, 0.2806), Ir at (0.5000, 0.2328, 0.6622), Os at (0.0000, 0.3496, 0.3794) and Os at (0.5000, 0.4156, 0.0496).

***

Record 4
First-principles (GGA-PBE) data for PaIrOs after structural relaxation, as listed in the Alexandria database.

The calculation puts the offset from the most stable computed form at 0 kJ/mol of formula units. The crystal system is hexagonal. The formation energy comes out at -278 meV per atom.

The structure belongs to space group P-6m2 (No. 187); the cell edges are 4.3321, 4.3321 and 3.7196 Å and the angles 90.00°, 90.00° and 120.00°. The asymmetric unit holds Pa at (0.0000, 0.0000, 0.0000), Ir at (0.6667, 0.3333, 0.5000) and Os at (0.3333, 0.6667, 0.5000).

***

Record 5
First-principles (GGA-PBE) data for Pa4IrOs after structural relaxation, as listed in the Alexandria database.

The crystal system is monoclinic. The formation energy comes out at -73 meV per atom.

The structure belongs to space group P2_1/c (No. 14); the cell edges are 6.7727, 6.7700 and 6.7754 Å and the angles 90.00°, 90.36° and 90.00°. The asymmetric unit holds Pa at (0.1513, 0.1536, 0.1560), Pa at (0.3450, 0.6526, 0.1505), Ir at (0.5000, 0.0000, 0.0000) and Os at (0.0000, 0.0000, 0.5000).

***

Record 6
First-principles (GGA-PBE) data for Pa8Ir5Os after structural relaxation, as listed in the Alexandria database.

The crystal system is tetragonal. The formation energy comes out at -607 meV per atom.

The structure belongs to space group I-4 (No. 82); the cell edges are 8.5613, 8.5613 and 8.6113 Å and the angles 90.00°, 90.00° and 90.00°. The asymmetric unit holds Pa at (0.0553, 0.1868, 0.1873), Pa at (0.0649, 0.3068, 0.5642), Ir at (0.0000, 0.5000, 0.2500), Ir at (0.1227, 0.2543, 0.8777) and Os at (0.0000, 0.0000, 0.5000).

***

Record 7
First-principles (GGA-PBE) data for PaIrOs after structural relaxation, as listed in the Alexandria database.

The calculation puts the offset from the most stable computed form at 34 kJ/mol of formula units. The crystal system is orthorhombic. The formation energy comes out at -159 meV per atom.

The structure belongs to space group Pmma (No. 51); the cell edges are 5.4160, 2.9202 and 6.9254 Å and the angles 90.00°, 90.00° and 90.00°. The asymmetric unit holds Pa at (0.2500, 0.0000, 0.1484), Ir at (0.2500, 0.5000, 0.7725) and Os at (0.0000, 0.0000, 0.5000).

***

Record 8
First-principles (GGA-PBE) data for Pa6Ir5Os after structural relaxation, as listed in the Alexandria database.

The crystal system is monoclinic. The formation energy comes out at -620 meV per atom.

The structure belongs to space group C2/m (No. 12); the cell edges are 15.9853, 4.3250 and 8.4085 Å and the angles 90.00°, 119.84° and 90.00°. The asymmetric unit holds Pa at (0.0793, 0.0000, 0.3823), Pa at (0.1064, 0.5000, 0.9745), Pa at (0.2482, 0.0000, 0.2212), Ir at (0.0000, 0.5000, 0.5000), Ir at (0.1361, 0.0000, 0.7727), Ir at (0.1980, 0.5000, 0.3782) and Os at (0.0000, 0.0000, 0.0000).

***

Number 1: total magnetization 0.0 μB/cell. Number 2: total magnetization 0.0 μB/cell. Number 3: total magnetization 4.6 μB/cell. Number 4: total magnetization 0.0 μB/cell. Number 5: total magnetization 0.0 μB/cell. Number 6: total magnetization 0.0 μB/cell. Number 7: total magnetization 0.0 μB/cell. Number 8: total magnetization 0.0 μB/cell.